1.
Entry from Alexandria: crystalline RbCe2Se4 at its relaxed geometry (GGA-PBE).

Cell: 7.4376 7.4376 14.6536 Å, 90.00 90.00 146.20°
Fractional positions:
Rb 0.1078 0.8922 0.7500
Rb 0.8922 0.1078 0.2500
Ce 0.3654 0.6346 0.5670
Ce 0.3654 0.6346 0.9330
Ce 0.6346 0.3654 0.0670
Ce 0.6346 0.3654 0.4330
Se 0.0000 0.0000 0.0000
Se 0.0000 0.0000 0.5000
Se 0.2629 0.7371 0.1057
Se 0.2629 0.7371 0.3943
Se 0.4213 0.5787 0.7500
Se 0.5787 0.4213 0.2500
Se 0.7371 0.2629 0.6057
Se 0.7371 0.2629 0.8943

Values from the calculation:
Energy relative to the elements, uncorrected, eV/atom: -1.641
Fermi-level density of states, states/eV per cell: 18.10
Relative energy among the computed polymorphs, meV/atom: 0.0
Symmetry: Cmcm, No. 63

2.
Entry from Alexandria: crystalline RbCeSe3 at its relaxed geometry (GGA-PBE).

Cell: 5.6155 5.6155 5.6155 Å, 90.00 90.00 90.00°
Fractional positions:
Rb 0.0000 0.0000 0.0000
Ce 0.5000 0.5000 0.5000
Se 0.0000 0.5000 0.5000
Se 0.5000 0.0000 0.5000
Se 0.5000 0.5000 0.0000

Values from the calculation:
Energy relative to the elements, uncorrected, eV/atom: -1.256
Fermi-level density of states, states/eV per cell: 2.90
Relative energy among the computed polymorphs, meV/atom: 76.5
Symmetry: Pm-3m, No. 221

3.
Entry from Alexandria: crystalline Rb2CeSm2Se6 at its relaxed geometry (GGA-PBE).

Cell: 7.3844 7.3844 8.5492 Å, 98.42 98.42 119.87°
Fractional positions:
Rb 0.1686 0.8314 0.0000
Rb 0.8314 0.1686 0.0000
Ce 0.0000 0.0000 0.5000
Sm 0.3336 0.6664 0.5000
Sm 0.6664 0.3336 0.5000
Se 0.0645 0.3922 0.6932
Se 0.2602 0.2602 0.3073
Se 0.3922 0.0645 0.6932
Se 0.6078 0.9355 0.3068
Se 0.7398 0.7398 0.6927
Se 0.9355 0.6078 0.3068

Values from the calculation:
Energy relative to the elements, uncorrected, eV/atom: -1.716
Symmetry: C2/m, No. 12

4.
Entry from Alexandria: crystalline Rb3CeSm3Se8 at its relaxed geometry (GGA-PBE).

Cell: 9.5262 9.5262 9.5262 Å, 53.46 53.46 53.46°
Fractional positions:
Rb 0.0000 0.5000 0.5000
Rb 0.5000 0.0000 0.5000
Rb 0.5000 0.5000 0.0000
Ce 0.5000 0.5000 0.5000
Sm 0.0000 0.0000 0.5000
Sm 0.0000 0.5000 0.0000
Sm 0.5000 0.0000 0.0000
Se 0.2327 0.2327 0.2327
Se 0.2369 0.7279 0.7279
Se 0.2721 0.2721 0.7631
Se 0.2721 0.7631 0.2721
Se 0.7279 0.2369 0.7279
Se 0.7279 0.7279 0.2369
Se 0.7631 0.2721 0.2721
Se 0.7673 0.7673 0.7673

Values from the calculation:
Energy relative to the elements, uncorrected, eV/atom: -1.721
Symmetry: R-3m, No. 166

5.
Entry from Alexandria: crystalline Rb4Ce3SnSe8 at its relaxed geometry (GGA-PBE).

Cell: 9.4143 9.4143 9.4143 Å, 55.87 55.87 55.87°
Fractional positions:
Rb 0.0000 0.0000 0.0000
Rb 0.0000 0.5000 0.5000
Rb 0.5000 0.0000 0.5000
Rb 0.5000 0.5000 0.0000
Ce 0.0000 0.0000 0.5000
Ce 0.0000 0.5000 0.0000
Ce 0.5000 0.0000 0.0000
Sn 0.5000 0.5000 0.5000
Se 0.2224 0.7370 0.7370
Se 0.2330 0.2330 0.2330
Se 0.2630 0.2630 0.7776
Se 0.2630 0.7776 0.2630
Se 0.7370 0.2224 0.7370
Se 0.7370 0.7370 0.2224
Se 0.7670 0.7670 0.7670
Se 0.7776 0.2630 0.2630

Values from the calculation:
Energy relative to the elements, uncorrected, eV/atom: -1.483
Fermi-level density of states, states/eV per cell: 12.01
Symmetry: R-3m, No. 166

6.
Entry from Alexandria: crystalline Rb2CeSnSe4 at its relaxed geometry (GGA-PBE).

Cell: 7.6371 4.3771 8.2544 Å, 90.00 107.31 90.00°
Fractional positions:
Rb 0.0000 0.0000 0.0000
Rb 0.5000 0.5000 0.0000
Ce 0.0000 0.5000 0.5000
Sn 0.5000 0.0000 0.5000
Se 0.2217 0.0000 0.6945
Se 0.2511 0.5000 0.3042
Se 0.7489 0.5000 0.6958
Se 0.7783 0.0000 0.3055

Values from the calculation:
Energy relative to the elements, uncorrected, eV/atom: -1.243
Fermi-level density of states, states/eV per cell: 2.63
Symmetry: P2/m, No. 10

7.
Entry from Alexandria: crystalline RbCeSnSe3 at its relaxed geometry (GGA-PBE).

Cell: 8.9029 4.3607 11.7322 Å, 90.00 107.43 90.00°
Fractional positions:
Rb 0.2273 0.2500 0.2618
Rb 0.7727 0.7500 0.7382
Ce 0.3550 0.7500 0.8475
Ce 0.6450 0.2500 0.1525
Sn 0.1463 0.2500 0.5643
Sn 0.8537 0.7500 0.4357
Se 0.1092 0.2500 0.7842
Se 0.3489 0.7500 0.5923
Se 0.4087 0.7500 0.1069
Se 0.5913 0.2500 0.8931
Se 0.6511 0.2500 0.4077
Se 0.8908 0.7500 0.2158

Values from the calculation:
Energy relative to the elements, uncorrected, eV/atom: -1.248
Fermi-level density of states, states/eV per cell: 10.83
Symmetry: P2_1/m, No. 11

8.
Entry from Alexandria: crystalline Rb3Sr2CeSe6 at its relaxed geometry (GGA-PBE).

Cell: 7.7994 7.7994 8.3571 Å, 98.98 98.98 119.98°
Fractional positions:
Rb 0.0000 0.0000 0.0000
Rb 0.3285 0.6715 0.0000
Rb 0.6715 0.3285 0.0000
Sr 0.1663 0.8337 0.5000
Sr 0.8337 0.1663 0.5000
Ce 0.5000 0.5000 0.5000
Se 0.1226 0.4329 0.2989
Se 0.2582 0.2582 0.7021
Se 0.4329 0.1226 0.2989
Se 0.5671 0.8774 0.7011
Se 0.7418 0.7418 0.2979
Se 0.8774 0.5671 0.7011

Values from the calculation:
Energy relative to the elements, uncorrected, eV/atom: -1.530
Fermi-level density of states, states/eV per cell: 17.02
Symmetry: C2/m, No. 12

9.
Entry from Alexandria: crystalline Rb3SrCe2Se6 at its relaxed geometry (GGA-PBE).

Cell: 7.6727 7.6727 8.3693 Å, 98.82 98.82 119.99°
Fractional positions:
Rb 0.0000 0.0000 0.0000
Rb 0.3377 0.6623 0.0000
Rb 0.6623 0.3377 0.0000
Sr 0.5000 0.5000 0.5000
Ce 0.1671 0.8329 0.5000
Ce 0.8329 0.1671 0.5000
Se 0.0806 0.4333 0.3005
Se 0.2139 0.2139 0.6985
Se 0.4333 0.0806 0.3005
Se 0.5667 0.9194 0.6995
Se 0.7861 0.7861 0.3015
Se 0.9194 0.5667 0.6995

Values from the calculation:
Energy relative to the elements, uncorrected, eV/atom: -1.683
Fermi-level density of states, states/eV per cell: 6.08
Symmetry: C2/m, No. 12

10.
Entry from Alexandria: crystalline Rb2TbCeSe4 at its relaxed geometry (GGA-PBE).

Cell: 7.5164 4.3402 8.3722 Å, 90.00 107.39 90.00°
Fractional positions:
Rb 0.0000 0.0000 0.0000
Rb 0.5000 0.5000 0.0000
Tb 0.0000 0.5000 0.5000
Ce 0.5000 0.0000 0.5000
Se 0.2257 0.0000 0.6967
Se 0.2602 0.5000 0.3012
Se 0.7398 0.5000 0.6988
Se 0.7743 0.0000 0.3033

Values from the calculation:
Energy relative to the elements, uncorrected, eV/atom: -1.702
Fermi-level density of states, states/eV per cell: 5.57
Symmetry: P2/m, No. 10

11.
Entry from Alexandria: crystalline Rb3Tb2CeSe6 at its relaxed geometry (GGA-PBE).

Cell: 7.4735 7.4735 8.3754 Å, 98.56 98.56 120.00°
Fractional positions:
Rb 0.0000 0.0000 0.0000
Rb 0.3343 0.6657 0.0000
Rb 0.6657 0.3343 0.0000
Tb 0.1668 0.8332 0.5000
Tb 0.8332 0.1668 0.5000
Ce 0.5000 0.5000 0.5000
Se 0.0935 0.4342 0.3028
Se 0.2249 0.2249 0.6969
Se 0.4342 0.0935 0.3028
Se 0.5658 0.9065 0.6972
Se 0.7751 0.7751 0.3031
Se 0.9065 0.5658 0.6972

Values from the calculation:
Energy relative to the elements, uncorrected, eV/atom: -1.715
Fermi-level density of states, states/eV per cell: 4.93
Symmetry: C2/m, No. 12

12.
Entry from Alexandria: crystalline Rb4Tb3CeSe8 at its relaxed geometry (GGA-PBE).

Cell: 9.4129 9.4129 9.4129 Å, 54.38 54.38 54.38°
Fractional positions:
Rb 0.0000 0.0000 0.0000
Rb 0.0000 0.5000 0.5000
Rb 0.5000 0.0000 0.5000
Rb 0.5000 0.5000 0.0000
Tb 0.0000 0.0000 0.5000
Tb 0.0000 0.5000 0.0000
Tb 0.5000 0.0000 0.0000
Ce 0.5000 0.5000 0.5000
Se 0.2258 0.7358 0.7358
Se 0.2318 0.2318 0.2318
Se 0.2642 0.2642 0.7742
Se 0.2642 0.7742 0.2642
Se 0.7358 0.2258 0.7358
Se 0.7358 0.7358 0.2258
Se 0.7682 0.7682 0.7682
Se 0.7742 0.2642 0.2642

Values from the calculation:
Energy relative to the elements, uncorrected, eV/atom: -1.721
Fermi-level density of states, states/eV per cell: 5.14
Symmetry: R-3m, No. 166

13.
Entry from Alexandria: crystalline Rb3TbCe3Se8 at its relaxed geometry (GGA-PBE).

Cell: 9.5030 9.5030 9.5030 Å, 53.99 53.99 53.99°
Fractional positions:
Rb 0.0000 0.5000 0.5000
Rb 0.5000 0.0000 0.5000
Rb 0.5000 0.5000 0.0000
Tb 0.5000 0.5000 0.5000
Ce 0.0000 0.0000 0.5000
Ce 0.0000 0.5000 0.0000
Ce 0.5000 0.0000 0.0000
Se 0.2327 0.2327 0.2327
Se 0.2336 0.7292 0.7292
Se 0.2708 0.2708 0.7664
Se 0.2708 0.7664 0.2708
Se 0.7292 0.2336 0.7292
Se 0.7292 0.7292 0.2336
Se 0.7664 0.2708 0.2708
Se 0.7673 0.7673 0.7673

Values from the calculation:
Energy relative to the elements, uncorrected, eV/atom: -1.709
Fermi-level density of states, states/eV per cell: 12.93
Symmetry: R-3m, No. 166

14.
Entry from Alexandria: crystalline RbTb4CeSe8 at its relaxed geometry (GGA-PBE).

Cell: 8.7940 8.7940 8.7940 Å, 58.93 58.93 58.93°
Fractional positions:
Rb 0.0000 0.0000 0.0000
Tb 0.1154 0.6329 0.6329
Tb 0.2543 0.2543 0.2543
Tb 0.6329 0.1154 0.6329
Tb 0.6329 0.6329 0.1154
Ce 0.6325 0.6325 0.6325
Se 0.3814 0.3814 0.8594
Se 0.3814 0.8594 0.3814
Se 0.3856 0.3856 0.3856
Se 0.4309 0.8653 0.8653
Se 0.8594 0.3814 0.3814
Se 0.8598 0.8598 0.8598
Se 0.8653 0.4309 0.8653
Se 0.8653 0.8653 0.4309

Values from the calculation:
Energy relative to the elements, uncorrected, eV/atom: -1.707
Fermi-level density of states, states/eV per cell: 8.26
Symmetry: R3m, No. 160

15.
Entry from Alexandria: crystalline Rb3TbCe2Se6 at its relaxed geometry (GGA-PBE).

Cell: 7.5591 7.5591 8.3804 Å, 98.65 98.65 120.00°
Fractional positions:
Rb 0.0000 0.0000 0.0000
Rb 0.3327 0.6673 0.0000
Rb 0.6673 0.3327 0.0000
Tb 0.5000 0.5000 0.5000
Ce 0.1666 0.8334 0.5000
Ce 0.8334 0.1666 0.5000
Se 0.1077 0.4339 0.3017
Se 0.2400 0.2400 0.6984
Se 0.4339 0.1077 0.3017
Se 0.5661 0.8923 0.6983
Se 0.7600 0.7600 0.3016
Se 0.8923 0.5661 0.6983

Values from the calculation:
Energy relative to the elements, uncorrected, eV/atom: -1.692
Fermi-level density of states, states/eV per cell: 11.55
Symmetry: C2/m, No. 12

16.
Entry from Alexandria: crystalline Rb3Tb3CeSe8 at its relaxed geometry (GGA-PBE).

Cell: 9.4872 9.4872 9.4872 Å, 52.89 52.89 52.89°
Fractional positions:
Rb 0.0000 0.5000 0.5000
Rb 0.5000 0.0000 0.5000
Rb 0.5000 0.5000 0.0000
Tb 0.0000 0.0000 0.5000
Tb 0.0000 0.5000 0.0000
Tb 0.5000 0.0000 0.0000
Ce 0.5000 0.5000 0.5000
Se 0.2317 0.2317 0.2317
Se 0.2321 0.7299 0.7299
Se 0.2701 0.2701 0.7679
Se 0.2701 0.7679 0.2701
Se 0.7299 0.2321 0.7299
Se 0.7299 0.7299 0.2321
Se 0.7679 0.2701 0.2701
Se 0.7683 0.7683 0.7683

Values from the calculation:
Energy relative to the elements, uncorrected, eV/atom: -1.727
Symmetry: R-3m, No. 166

17.
Entry from Alexandria: crystalline Rb4TbCe3Se8 at its relaxed geometry (GGA-PBE).

Cell: 9.4502 9.4502 9.4502 Å, 55.17 55.17 55.17°
Fractional positions:
Rb 0.0000 0.0000 0.0000
Rb 0.0000 0.5000 0.5000
Rb 0.5000 0.0000 0.5000
Rb 0.5000 0.5000 0.0000
Tb 0.5000 0.5000 0.5000
Ce 0.0000 0.0000 0.5000
Ce 0.0000 0.5000 0.0000
Ce 0.5000 0.0000 0.0000
Se 0.2335 0.2335 0.2335
Se 0.2393 0.7294 0.7294
Se 0.2706 0.2706 0.7607
Se 0.2706 0.7607 0.2706
Se 0.7294 0.2393 0.7294
Se 0.7294 0.7294 0.2393
Se 0.7607 0.2706 0.2706
Se 0.7665 0.7665 0.7665

Values from the calculation:
Energy relative to the elements, uncorrected, eV/atom: -1.685
Fermi-level density of states, states/eV per cell: 18.35
Symmetry: R-3m, No. 166

18.
Entry from Alexandria: crystalline Rb2Tb2CeSe6 at its relaxed geometry (GGA-PBE).

Cell: 7.2946 7.2946 8.5463 Å, 98.26 98.26 119.99°
Fractional positions:
Rb 0.1677 0.8323 0.0000
Rb 0.8323 0.1677 0.0000
Tb 0.3334 0.6666 0.5000
Tb 0.6666 0.3334 0.5000
Ce 0.0000 0.0000 0.5000
Se 0.0640 0.3956 0.6918
Se 0.2661 0.2661 0.3087
Se 0.3956 0.0640 0.6918
Se 0.6044 0.9360 0.3082
Se 0.7339 0.7339 0.6913
Se 0.9360 0.6044 0.3082

Values from the calculation:
Energy relative to the elements, uncorrected, eV/atom: -1.723
Symmetry: C2/m, No. 12

19.
Entry from Alexandria: crystalline Rb2Ce2TeSe6 at its relaxed geometry (GGA-PBE).

Cell: 7.4460 7.4460 8.5125 Å, 98.30 98.30 119.72°
Fractional positions:
Rb 0.1663 0.8337 0.0000
Rb 0.8337 0.1663 0.0000
Ce 0.3328 0.6672 0.5000
Ce 0.6672 0.3328 0.5000
Te 0.0000 0.0000 0.5000
Se 0.0641 0.3890 0.6928
Se 0.2560 0.2560 0.3084
Se 0.3890 0.0641 0.6928
Se 0.6110 0.9359 0.3072
Se 0.7440 0.7440 0.6916
Se 0.9359 0.6110 0.3072

Values from the calculation:
Energy relative to the elements, uncorrected, eV/atom: -1.197
Fermi-level density of states, states/eV per cell: 15.59
Symmetry: C2/m, No. 12

20.
Entry from Alexandria: crystalline Rb4Ce3ThSe8 at its relaxed geometry (GGA-PBE).

Cell: 9.4914 9.4914 9.4914 Å, 55.07 55.07 55.07°
Fractional positions:
Rb 0.0000 0.0000 0.0000
Rb 0.0000 0.5000 0.5000
Rb 0.5000 0.0000 0.5000
Rb 0.5000 0.5000 0.0000
Ce 0.0000 0.0000 0.5000
Ce 0.0000 0.5000 0.0000
Ce 0.5000 0.0000 0.0000
Th 0.5000 0.5000 0.5000
Se 0.2339 0.2339 0.2339
Se 0.2406 0.7304 0.7304
Se 0.2696 0.2696 0.7594
Se 0.2696 0.7594 0.2696
Se 0.7304 0.2406 0.7304
Se 0.7304 0.7304 0.2406
Se 0.7594 0.2696 0.2696
Se 0.7661 0.7661 0.7661

Values from the calculation:
Energy relative to the elements, uncorrected, eV/atom: -1.639
Fermi-level density of states, states/eV per cell: 23.97
Symmetry: R-3m, No. 166